Record 1
Density functional theory data (GGA-PBE) for a relaxed Pa2Si4Pt3Au crystal.

Results
energy relative to the elements, uncorrected	-822	meV per atom

abc: 4.2754 4.2754 9.7331
angles: 90.00 90.00 90.00
Sites, in units of the cell vectors:
Pa  0.0000  0.5000  0.2456
Pa  0.5000  0.0000  0.7544
Si  0.0000  0.0000  0.0000
Si  0.0000  0.5000  0.6372
Si  0.5000  0.0000  0.3628
Si  0.5000  0.5000  0.0000
Pt  0.0000  0.5000  0.8821
Pt  0.5000  0.0000  0.1179
Pt  0.5000  0.5000  0.5000
Au  0.0000  0.0000  0.5000

=====

Record 2
Density functional theory data (GGA-PBE) for a relaxed BaTlAu2 crystal.

Results
energy of formation from the pure elements	-0.276	eV per atom

abc: 5.4051 5.4051 18.9511
angles: 90.00 90.00 90.00
Sites, in units of the cell vectors:
Ba  0.0000  0.0000  0.0000
Ba  0.0000  0.5000  0.2500
Ba  0.5000  0.0000  0.7500
Ba  0.5000  0.5000  0.5000
Tl  0.0000  0.0000  0.5000
Tl  0.0000  0.5000  0.7500
Tl  0.5000  0.0000  0.2500
Tl  0.5000  0.5000  0.0000
Au  0.1058  0.2500  0.6250
Au  0.2500  0.6058  0.8750
Au  0.2500  0.8942  0.3750
Au  0.3942  0.2500  0.1250
Au  0.6058  0.7500  0.1250
Au  0.7500  0.1058  0.3750
Au  0.7500  0.3942  0.8750
Au  0.8942  0.7500  0.6250

=====

Record 3
Density functional theory data (GGA-PBE) for a relaxed OF5 crystal.

Results
energy relative to the elements, uncorrected	508	meV per atom

abc: 1.6998 5.9186 8.2881
angles: 79.67 84.27 89.85
Sites, in units of the cell vectors:
O  0.0000  0.0000  0.0000
F  0.0014  0.4994  0.9996
F  0.3263  0.1680  0.3339
F  0.3310  0.6672  0.3344
F  0.6630  0.3358  0.6654
F  0.6657  0.8354  0.6653

=====

Record 4
Density functional theory data (GGA-PBE) for a relaxed LaCoBr2 crystal.

Results
energy relative to the elements, uncorrected	-352	meV per atom

abc: 3.8666 3.8666 6.5961
angles: 90.00 90.00 90.00
Sites, in units of the cell vectors:
La  0.0000  0.0000  0.0000
Co  0.0000  0.0000  0.5000
Br  0.5000  0.5000  0.2468
Br  0.5000  0.5000  0.7532

=====

Quick rundown of calculated density, same order as above: 12.662 8.826 2.258 6.022 g/cm3